[1]
Ac2Ga2Rh5 | PBE | optimized geometry

```
9
Lattice="4.580 0.000 0.000 0.000 4.580 0.000 0.000 0.000 8.427" Properties=species:S:1:pos:R:3 pbc="T T T"
Rh 2.290 0.000 6.199
Rh 0.000 2.290 6.199
Rh 0.000 2.290 2.228
Rh 2.290 2.290 4.214
Rh 2.290 0.000 2.228
Ga 2.290 2.290 1.403
Ga 2.290 2.290 7.024
Ac 0.000 0.000 0.000
Ac 0.000 0.000 4.214
```

As for the calculated density: 10.4 Mg/m³. The total magnetic moment comes out at 0.00 μB per atom. The space group is P4/mmm. The uncorrected energy comes out at -56.29 eV for the cell shown.

[2]
SiOs2Pt | PBE | optimized geometry

```
8
Lattice="-3.713 -3.372 1.756 -0.066 -2.396 -4.742 2.293 -6.554 0.303" Properties=species:S:1:pos:R:3 pbc="T T T"
Si 0.169 -5.917 -2.966
Si -1.890 -2.884 -1.493
Pt -1.654 -6.405 0.283
Pt 0.000 0.000 0.000
Os 0.301 -7.125 -0.984
Os -0.004 -3.622 -2.635
Os -1.684 -3.981 0.547
Os -1.586 -9.917 -2.295
```

The calculation puts the raw formation energy at 392 kJ/mol of formula units. As for the calculated density: 12.1 Mg/m³. The total magnetic moment comes out at 0.00 μB per atom. The space group is I-42d.

[3]
NdErTe2Br | PBE | optimized geometry

```
10
Lattice="4.429 0.000 0.000 0.000 4.429 0.000 0.000 0.000 15.050" Properties=species:S:1:pos:R:3 pbc="T T T"
Te 2.214 0.000 4.364
Te 0.000 2.214 1.794
Te 2.214 0.000 13.256
Te 0.000 2.214 10.686
Br 2.214 2.214 7.525
Br 0.000 0.000 7.525
Nd 0.000 2.214 5.366
Nd 2.214 0.000 9.684
Er 2.214 0.000 1.266
Er 0.000 2.214 13.783
```

The calculation puts the raw formation energy at -677 kJ/mol of formula units. As for the calculated density: 7.3 Mg/m³. The total magnetic moment comes out at 0.00 μB per atom. The space group is P4/nmm.

[4]
LiLaTe2 | PBE | optimized geometry

```
4
Lattice="-2.083 -0.583 6.938 -0.935 -4.376 5.726 4.191 0.844 1.329" Properties=species:S:1:pos:R:3 pbc="T T T"
Te 0.267 -3.338 10.701
Te 0.423 -0.064 0.600
Li -0.180 -1.043 3.094
La 1.248 -1.728 6.592
```

The calculation puts the raw formation energy at -494 kJ/mol of formula units. As for the calculated density: 5.2 Mg/m³. The total magnetic moment comes out at 0.00 μB per atom. The space group is Cm.